Entry 1:
UPaIr: relaxed, GGA-PBE.

Results
As for the theoretical density: 16.89 g/cm³. The calculated total energy comes out at -10.32 eV/atom. The calculation puts the formation energy at -0.434 eV per atom. The space group is Pnma (62).

Cell lengths 3.8492, 3.8489, 17.5503 Å; angles 90.00, 90.00, 90.00 degrees
Sites, in units of the cell vectors:
Ir: 0.2475 0.7500 0.8468
Ir: 0.2525 0.7500 0.3468
Ir: 0.7525 0.2500 0.1532
Ir: 0.7475 0.2500 0.6532
U: 0.2494 0.2500 0.5000
U: 0.2506 0.2500 0.0000
U: 0.7506 0.7500 0.5000
U: 0.7494 0.7500 0.0000
Pa: 0.2477 0.7500 0.6726
Pa: 0.2523 0.7500 0.1726
Pa: 0.7523 0.2500 0.3274
Pa: 0.7477 0.2500 0.8274



Entry 2:
TcRuSe2: relaxed, GGA-PBE.

Results
As for the theoretical density: 8.70 g/cm³. The calculated total energy comes out at -6.15 eV/atom. The uncorrected formation energy comes out at 506 meV/atom. The space group is Cmmm (65).

Cell lengths 5.7768, 5.7768, 2.7579 Å; angles 61.50, 61.50, 89.47 degrees
Sites, in units of the cell vectors:
Ru: 0.0000 0.5000 0.5000
Se: 0.0000 0.0000 0.0000
Se: 0.5000 0.5000 0.0000
Tc: 0.5000 0.0000 0.5000



Entry 3:
NaLiSbPd: relaxed, GGA-PBE.

Results
As for the theoretical density: 5.84 g/cm³. The calculated total energy comes out at -3.62 eV/atom. The uncorrected formation energy comes out at -480 meV/atom. The space group is F-43m (216).

Cell lengths 4.6985, 4.6985, 4.6985 Å; angles 60.00, 60.00, 60.00 degrees
Sites, in units of the cell vectors:
Sb: 0.7500 0.7500 0.7500
Li: 0.0000 0.0000 0.0000
Pd: 0.5000 0.5000 0.5000
Na: 0.2500 0.2500 0.2500



Entry 4:
BeCrAg2: relaxed, GGA-PBE.

Results
As for the theoretical density: 7.71 g/cm³. The calculated total energy comes out at -4.37 eV/atom. The calculation puts the formation energy at 0.390 eV per atom. The space group is P4/mmm (123).

Cell lengths 2.9851, 2.9851, 6.6931 Å; angles 90.00, 90.00, 90.00 degrees
Sites, in units of the cell vectors:
Cr: 0.5000 0.5000 0.7500
Ag: 0.0000 0.0000 0.0353
Ag: 0.0000 0.0000 0.4647
Be: 0.5000 0.5000 0.2500



Entry 5:
Tb2CuPd2: relaxed, GGA-PBE.

Results
As for the theoretical density: 9.57 g/cm³. The calculated total energy comes out at -5.45 eV/atom. The calculation puts the formation energy at -0.697 eV per atom. The space group is C2/m (12).

Cell lengths 3.8912, 5.4948, 10.5351 Å; angles 91.23, 79.36, 69.26 degrees
Sites, in units of the cell vectors:
Tb: 0.6584 0.3436 0.3395
Tb: 0.9277 0.2542 0.8904
Tb: 0.3416 0.6564 0.6605
Tb: 0.0723 0.7458 0.1096
Cu: 0.6178 0.0833 0.6812
Cu: 0.3822 0.9167 0.3188
Pd: 0.1094 0.2357 0.5455
Pd: 0.6506 0.8116 0.8871
Pd: 0.8906 0.7643 0.4545
Pd: 0.3494 0.1884 0.1129



Entry 6:
GdTlCdCu: relaxed, GGA-PBE.

Results
As for the theoretical density: 9.96 g/cm³. The calculated total energy comes out at -5.50 eV/atom. The calculation puts the formation energy at -0.137 eV per atom. The space group is F-43m (216).

Cell lengths 5.0226, 5.0226, 5.0226 Å; angles 60.00, 60.00, 60.00 degrees
Sites, in units of the cell vectors:
Tl: 0.2500 0.2500 0.2500
Gd: 0.0000 0.0000 0.0000
Cu: 0.7500 0.7500 0.7500
Cd: 0.5000 0.5000 0.5000



Entry 7:
Mo3AuCl: relaxed, GGA-PBE.

Results
As for the theoretical density: 6.20 g/cm³. The calculated total energy comes out at -5.26 eV/atom. The uncorrected formation energy comes out at 2260 meV/atom. The space group is Pm-3m (221).

Cell lengths 5.1838, 5.1838, 5.1838 Å; angles 90.00, 90.00, 90.00 degrees
Sites, in units of the cell vectors:
Mo: 0.0000 0.5000 0.0000
Mo: 0.0000 0.0000 0.5000
Mo: 0.5000 0.0000 0.0000
Au: 0.0000 0.0000 0.0000
Cl: 0.5000 0.5000 0.5000



Entry 8:
YInSe3: relaxed, GGA-PBE.

Results
As for the theoretical density: 4.79 g/cm³. The calculated total energy comes out at -5.12 eV/atom. The uncorrected formation energy comes out at -1192 meV/atom. The space group is P3m1 (156).

Cell lengths 4.1908, 10.0343, 4.1911 Å; angles 90.01, 120.00, 90.00 degrees
Sites, in units of the cell vectors:
Y: 0.1301 0.7616 0.0014
Se: 0.1298 0.2218 0.0010
Se: 0.4635 0.9012 0.6682
Se: 0.7968 0.5928 0.3347
In: 0.7965 0.3373 0.3345